Compound: Pa2Se3
Source: OQMD
Functional: PBE
Structure: optimized geometry

a b c (Å): 8.9485 8.9485 12.4266
angles (deg): 102.90 102.90 26.20
Sites, in units of the cell vectors:
Se 0.1803 0.1803 0.7247
Pa 0.6651 0.6651 0.8796
Se 0.4981 0.4981 0.8216
Se 0.8197 0.8197 0.2753
Pa 0.3331 0.3331 0.4409
Pa 0.0039 0.0039 0.6628
Se 0.8329 0.8329 0.9590
Pa 0.9961 0.9961 0.3372
Se 0.8356 0.8356 0.6109
Se 0.5000 0.5000 0.5000
Pa 0.3349 0.3349 0.1204
Se 0.5019 0.5019 0.1784
Se 0.1671 0.1671 0.0410
Se 0.1644 0.1644 0.3891
Pa 0.6669 0.6669 0.5591

Calculated values
- Space-group type: C2/m (12)
- VASP energy: -108.00 eV/cell
- Calculated volume: 28.5 Å³ per atom

---

Compound: Pa2SiSe
Source: OQMD
Functional: PBE
Structure: optimized geometry

a b c (Å): 5.7536 5.7533 12.9076
angles (deg): 90.00 116.43 90.00
Sites, in units of the cell vectors:
Pa 0.3788 0.2503 0.8787
Se 0.8752 0.7496 0.3751
Se 0.1248 0.7496 0.1249
Pa 0.6212 0.7497 0.1213
Pa 0.1290 0.2497 0.1289
Pa 0.1290 0.7503 0.6289
Pa 0.8710 0.2497 0.3711
Si 0.3750 0.2497 0.3751
Si 0.6250 0.2497 0.1249
Si 0.3750 0.7503 0.8751
Pa 0.3788 0.7497 0.3787
Se 0.1248 0.2504 0.6249
Pa 0.6212 0.2503 0.6213
Pa 0.8710 0.7503 0.8711
Si 0.6250 0.7503 0.6249
Se 0.8752 0.2504 0.8751

Calculated values
- Space-group type: I4_1/amd (141)
- VASP energy: -125.45 eV/cell
- Calculated volume: 23.9 Å³ per atom

---

Compound: PaSiSe
Source: OQMD
Functional: PBE
Structure: optimized geometry

a b c (Å): 8.7613 8.7613 8.7613
angles (deg): 154.09 154.09 36.97
Sites, in units of the cell vectors:
Si 0.5000 0.0000 0.5000
Si 0.0000 0.5000 0.5000
Pa 0.6292 0.6292 0.0000
Se 0.1849 0.1849 0.0000
Pa 0.3708 0.3708 0.0000
Se 0.8151 0.8151 0.0000

Calculated values
- Space-group type: I4/mmm (139)
- VASP energy: -42.80 eV/cell
- Calculated volume: 21.4 Å³ per atom

---

Compound: Sm2Pa2Se7
Source: OQMD
Functional: PBE
Structure: optimized geometry

a b c (Å): 8.9770 8.9770 8.9770
angles (deg): 153.67 67.22 119.41
Sites, in units of the cell vectors:
Sm 0.1498 0.4111 0.7387
Se 0.9327 0.1136 0.8191
Pa 0.2184 0.2184 0.0000
Sm 0.6725 0.4111 0.2613
Se 0.2944 0.1136 0.1809
Se 0.2863 0.8935 0.3929
Se 0.5006 0.8935 0.6071
Se 0.9875 0.4875 0.5000
Se 0.8521 0.7183 0.1338
Se 0.5845 0.7183 0.8662
Pa 0.6672 0.1672 0.5000

Calculated values
- Space-group type: Imm2 (44)
- VASP energy: -70.34 eV/cell
- Calculated volume: 25.2 Å³ per atom

---

Compound: SrPa2Se5
Source: OQMD
Functional: PBE
Structure: optimized geometry

a b c (Å): 8.8090 8.8090 8.8090
angles (deg): 127.35 127.35 77.68
Sites, in units of the cell vectors:
Sr 0.2500 0.2500 0.0000
Pa 0.8456 0.3456 0.1913
Se 0.0138 0.2140 0.5000
Se 0.0000 0.0000 0.0000
Se 0.2140 0.7140 0.2002
Se 0.4862 0.9862 0.2002
Se 0.9862 0.7860 0.5000
Se 0.7140 0.5138 0.5000
Pa 0.6544 0.8456 0.5000
Sr 0.7500 0.7500 0.0000
Se 0.5138 0.0138 0.7998
Se 0.7860 0.2860 0.7998
Pa 0.1544 0.6544 0.8087
Se 0.5000 0.5000 0.0000
Pa 0.3456 0.1544 0.5000
Se 0.2860 0.4862 0.5000

Calculated values
- Space-group type: I4/mcm (140)
- VASP energy: -101.14 eV/cell
- Calculated volume: 26.2 Å³ per atom

---

Compound: Sr4PaSe3
Source: OQMD
Functional: PBE
Structure: optimized geometry

a b c (Å): 8.0449 8.0449 8.0449
angles (deg): 132.62 132.62 69.24
Sites, in units of the cell vectors:
Sr 0.5000 0.0000 0.5000
Se 0.2500 0.7500 0.5000
Se 0.7500 0.2500 0.5000
Se 0.5000 0.5000 0.0000
Pa 0.0000 0.0000 0.0000
Sr 0.0000 0.5000 0.5000
Sr 0.7268 0.7268 0.0000
Sr 0.2732 0.2732 0.0000

Calculated values
- Space-group type: I4/mmm (139)
- VASP energy: -32.14 eV/cell
- Calculated volume: 34.6 Å³ per atom

---

Please write out number 2 again, unchanged.
Compound: Pa2SiSe
Source: OQMD
Functional: PBE
Structure: optimized geometry

a b c (Å): 5.7536 5.7533 12.9076
angles (deg): 90.00 116.43 90.00
Sites, in units of the cell vectors:
Pa 0.3788 0.2503 0.8787
Se 0.8752 0.7496 0.3751
Se 0.1248 0.7496 0.1249
Pa 0.6212 0.7497 0.1213
Pa 0.1290 0.2497 0.1289
Pa 0.1290 0.7503 0.6289
Pa 0.8710 0.2497 0.3711
Si 0.3750 0.2497 0.3751
Si 0.6250 0.2497 0.1249
Si 0.3750 0.7503 0.8751
Pa 0.3788 0.7497 0.3787
Se 0.1248 0.2504 0.6249
Pa 0.6212 0.2503 0.6213
Pa 0.8710 0.7503 0.8711
Si 0.6250 0.7503 0.6249
Se 0.8752 0.2504 0.8751

Calculated values
- Space-group type: I4_1/amd (141)
- VASP energy: -125.45 eV/cell
- Calculated volume: 23.9 Å³ per atom

---

Question: Which formula does entry 1 have?
Answer: Pa2Se3